Entry 1:
Compound: IrRu2Se
Source: the Alexandria database
Functional: GGA-PBE
Structure: optimized geometry

Lattice parameters (Å, degrees): 2.9218 4.4602 9.0472 90.00 90.00 90.00
Space group Immm (No. 71)
Symmetry-distinct sites (fractional):
Ir  0.0000  0.0000  0.0000 [2 per cell]
Ru  0.0000  0.5000  0.2230 [4 per cell]
Se  0.0000  0.0000  0.5000 [2 per cell]

Computed properties:
- total DFT energy (no corrections) (eV per formula unit) = -29.3

Entry 2:
Compound: IrRu2Se
Source: the Alexandria database
Functional: GGA-PBE
Structure: optimized geometry

Lattice parameters (Å, degrees): 2.7728 4.8049 9.1468 90.00 90.00 90.00
Space group Cmmm (No. 65)
Symmetry-distinct sites (fractional):
Ir  0.0000  0.0000  0.0000 [2 per cell]
Ru  0.0000  0.5000  0.2498 [4 per cell]
Se  0.0000  0.0000  0.5000 [2 per cell]

Computed properties:
- total DFT energy (no corrections) (eV per formula unit) = -28.5

Entry 3:
Compound: IrRu2Se
Source: the Alexandria database
Functional: GGA-PBE
Structure: optimized geometry

Lattice parameters (Å, degrees): 8.9246 2.8350 4.8840 90.00 105.06 90.00
Space group C2/m (No. 12)
Symmetry-distinct sites (fractional):
Ir  0.0000  0.0000  0.0000 [2 per cell]
Ru  0.2405  0.0000  0.7644 [4 per cell]
Se  0.0000  0.5000  0.5000 [2 per cell]

Computed properties:
- total DFT energy (no corrections) (eV per formula unit) = -29.5

Entry 4:
Compound: Ir3RuSe
Source: the Alexandria database
Functional: GGA-PBE
Structure: optimized geometry

Lattice parameters (Å, degrees): 4.5562 4.5562 4.5562 90.00 90.00 90.00
Space group Pm-3m (No. 221)
Symmetry-distinct sites (fractional):
Ir  0.0000  0.0000  0.5000 [3 per cell]
Ru  0.5000  0.5000  0.5000 [1 per cell]
Se  0.0000  0.0000  0.0000 [1 per cell]

Computed properties:
- ΔE to the lowest computed polymorph (eV/f.u.) = 0.00
- total DFT energy (no corrections) (eV per formula unit) = -31.2

Entry 5:
Compound: IrRu2Se
Source: the Alexandria database
Functional: GGA-PBE
Structure: optimized geometry

Lattice parameters (Å, degrees): 2.8513 2.8513 25.3250 90.00 90.00 120.00
Space group R3m (No. 160, hexagonal axes)
Symmetry-distinct sites (fractional):
Ir  0.0000  0.0000  0.0000 [3 per cell]
Ru  0.0000  0.0000  0.5021 [3 per cell]
Ru  0.0000  0.0000  0.7511 [3 per cell]
Se  0.0000  0.0000  0.2464 [3 per cell]

Computed properties:
- total DFT energy (no corrections) (eV per formula unit) = -29.6

Entry 6:
Compound: Ir3RuSe
Source: the Alexandria database
Functional: GGA-PBE
Structure: optimized geometry

Lattice parameters (Å, degrees): 4.7053 4.7053 4.7053 90.00 90.00 90.00
Space group Pm-3m (No. 221)
Symmetry-distinct sites (fractional):
Ir  0.0000  0.0000  0.5000 [3 per cell]
Ru  0.0000  0.0000  0.0000 [1 per cell]
Se  0.5000  0.5000  0.5000 [1 per cell]

Computed properties:
- ΔE to the lowest computed polymorph (eV/f.u.) = 1.48
- total DFT energy (no corrections) (eV per formula unit) = -29.8

Entry 7:
Compound: IrRu2Se
Source: the Alexandria database
Functional: GGA-PBE
Structure: optimized geometry

Lattice parameters (Å, degrees): 3.9446 3.9446 3.7977 90.00 90.00 90.00
Space group P4/mmm (No. 123)
Symmetry-distinct sites (fractional):
Ir  0.0000  0.0000  0.0000 [1 per cell]
Ru  0.0000  0.5000  0.5000 [2 per cell]
Se  0.5000  0.5000  0.0000 [1 per cell]

Computed properties:
- total DFT energy (no corrections) (eV per formula unit) = -28.9

Entry 8:
Compound: IrRu2Se
Source: the Alexandria database
Functional: GGA-PBE
Structure: optimized geometry

Lattice parameters (Å, degrees): 6.2417 6.2417 6.2417 90.00 90.00 90.00
Space group F-43m (No. 216)
Symmetry-distinct sites (fractional):
Ir  0.0000  0.0000  0.0000 [4 per cell]
Ru  0.0000  0.0000  0.5000 [4 per cell]
Ru  0.2500  0.2500  0.7500 [4 per cell]
Se  0.2500  0.2500  0.2500 [4 per cell]

Computed properties:
- total DFT energy (no corrections) (eV per formula unit) = -28.4

Entry 9:
Compound: IrRu2Se
Source: the Alexandria database
Functional: GGA-PBE
Structure: optimized geometry

Lattice parameters (Å, degrees): 2.8377 2.8377 7.4432 90.00 90.00 90.00
Space group P4mm (No. 99)
Symmetry-distinct sites (fractional):
Ir  0.0000  0.0000  0.0000 [1 per cell]
Ru  0.0000  0.0000  0.4881 [1 per cell]
Ru  0.5000  0.5000  0.2394 [1 per cell]
Se  0.5000  0.5000  0.7162 [1 per cell]

Computed properties:
- total DFT energy (no corrections) (eV per formula unit) = -29.6

Entry 10:
Compound: IrRu2Se
Source: the Alexandria database
Functional: GGA-PBE
Structure: optimized geometry

Lattice parameters (Å, degrees): 2.8830 3.9956 5.3110 90.00 104.54 90.00
Space group P2/m (No. 10)
Symmetry-distinct sites (fractional):
Ir  0.0000  0.0000  0.0000 [1 per cell]
Ru  0.3720  0.5000  0.7456 [2 per cell]
Se  0.0000  0.0000  0.5000 [1 per cell]

Computed properties:
- total DFT energy (no corrections) (eV per formula unit) = -29.7

Entry 11:
Compound: IrRu2Se
Source: the Alexandria database
Functional: GGA-PBE
Structure: optimized geometry

Lattice parameters (Å, degrees): 2.7733 4.7910 9.3157 90.00 90.00 90.00
Space group Cmm2 (No. 35)
Symmetry-distinct sites (fractional):
Ir  0.0000  0.0000  0.0000 [2 per cell]
Ru  0.0000  0.0000  0.5171 [2 per cell]
Ru  0.0000  0.5000  0.7588 [2 per cell]
Se  0.0000  0.5000  0.2761 [2 per cell]

Computed properties:
- total DFT energy (no corrections) (eV per formula unit) = -28.5

Entry 12:
Compound: IrRu2Se
Source: the Alexandria database
Functional: GGA-PBE
Structure: optimized geometry

Lattice parameters (Å, degrees): 2.8336 3.6726 5.7503 90.00 90.00 90.00
Space group Pmmm (No. 47)
Symmetry-distinct sites (fractional):
Ir  0.0000  0.0000  0.0000 [1 per cell]
Ru  0.5000  0.5000  0.2358 [2 per cell]
Se  0.0000  0.0000  0.5000 [1 per cell]

Computed properties:
- total DFT energy (no corrections) (eV per formula unit) = -29.5

Entry 13:
Compound: IrRu2Se
Source: the Alexandria database
Functional: GGA-PBE
Structure: optimized geometry

Lattice parameters (Å, degrees): 3.9477 3.9477 7.6022 90.00 90.00 90.00
Space group I-4m2 (No. 119)
Symmetry-distinct sites (fractional):
Ir  0.0000  0.0000  0.0000 [2 per cell]
Ru  0.0000  0.0000  0.5000 [2 per cell]
Ru  0.0000  0.5000  0.7500 [2 per cell]
Se  0.0000  0.5000  0.2500 [2 per cell]

Computed properties:
- total DFT energy (no corrections) (eV per formula unit) = -29.1

Entry 14:
Compound: IrRu2Se
Source: the Alexandria database
Functional: GGA-PBE
Structure: optimized geometry

Lattice parameters (Å, degrees): 4.0294 4.0294 7.2818 90.00 90.00 90.00
Space group I4/mmm (No. 139)
Symmetry-distinct sites (fractional):
Ir  0.0000  0.0000  0.0000 [2 per cell]
Ru  0.0000  0.5000  0.2500 [4 per cell]
Se  0.0000  0.0000  0.5000 [2 per cell]

Computed properties:
- total DFT energy (no corrections) (eV per formula unit) = -29.2

Entry 15:
Compound: Sn2IrRuSe
Source: the Alexandria database
Functional: GGA-PBE
Structure: optimized geometry

Lattice parameters (Å, degrees): 5.1301 5.1301 4.8072 90.00 90.00 90.00
Space group P4/mmm (No. 123)
Symmetry-distinct sites (fractional):
Sn  0.0000  0.5000  0.0000 [2 per cell]
Ir  0.0000  0.0000  0.0000 [1 per cell]
Ru  0.0000  0.0000  0.5000 [1 per cell]
Se  0.5000  0.5000  0.5000 [1 per cell]

Computed properties:
- total DFT energy (no corrections) (eV per formula unit) = -26.1

Entry 16:
Compound: Th4IrRuSe2
Source: the Alexandria database
Functional: GGA-PBE
Structure: optimized geometry

Lattice parameters (Å, degrees): 7.1329 4.1185 7.7336 90.00 107.95 90.00
Space group P2/m (No. 10)
Symmetry-distinct sites (fractional):
Th  0.2362  0.0000  0.2147 [2 per cell]
Th  0.2578  0.5000  0.7851 [2 per cell]
Ir  0.5000  0.0000  0.0000 [1 per cell]
Ru  0.0000  0.5000  0.0000 [1 per cell]
Se  0.0000  0.0000  0.5000 [1 per cell]
Se  0.5000  0.5000  0.5000 [1 per cell]

Computed properties:
- total DFT energy (no corrections) (eV per formula unit) = -64.3

Entry 17:
Compound: Th8IrRu3Se4
Source: the Alexandria database
Functional: GGA-PBE
Structure: optimized geometry

Lattice parameters (Å, degrees): 8.2136 8.2136 22.0933 90.00 90.00 120.00
Space group R-3m (No. 166, hexagonal axes)
Symmetry-distinct sites (fractional):
Th  0.0000  0.0000  0.2382 [6 per cell]
Th  0.0028  0.5014  0.7620 [18 per cell]
Ir  0.0000  0.0000  0.5000 [3 per cell]
Ru  0.0000  0.5000  0.5000 [9 per cell]
Se  0.0000  0.0000  0.0000 [3 per cell]
Se  0.0000  0.5000  0.0000 [9 per cell]

Computed properties:
- total DFT energy (no corrections) (eV per formula unit) = -128.1

Entry 18:
Compound: Th8Ir3RuSe4
Source: the Alexandria database
Functional: GGA-PBE
Structure: optimized geometry

Lattice parameters (Å, degrees): 8.2539 8.2539 22.0462 90.00 90.00 120.00
Space group R-3m (No. 166, hexagonal axes)
Symmetry-distinct sites (fractional):
Th  0.0000  0.0000  0.2387 [6 per cell]
Th  0.0031  0.5015  0.2388 [18 per cell]
Ir  0.0000  0.5000  0.5000 [9 per cell]
Ru  0.0000  0.0000  0.5000 [3 per cell]
Se  0.0000  0.0000  0.0000 [3 per cell]
Se  0.0000  0.5000  0.0000 [9 per cell]

Computed properties:
- total DFT energy (no corrections) (eV per formula unit) = -129.3

Entry 19:
Compound: Zn2IrRuSe
Source: the Alexandria database
Functional: GGA-PBE
Structure: optimized geometry

Lattice parameters (Å, degrees): 4.7169 4.7169 4.7049 90.00 90.00 90.00
Space group P4/mmm (No. 123)
Symmetry-distinct sites (fractional):
Zn  0.0000  0.5000  0.0000 [2 per cell]
Ir  0.0000  0.0000  0.5000 [1 per cell]
Ru  0.0000  0.0000  0.0000 [1 per cell]
Se  0.5000  0.5000  0.5000 [1 per cell]

Computed properties:
- total DFT energy (no corrections) (eV per formula unit) = -19.6

Entry 20:
Compound: SiIr2Ru
Source: the Alexandria database
Functional: GGA-PBE
Structure: optimized geometry

Lattice parameters (Å, degrees): 3.8575 3.8575 7.4504 90.00 90.00 90.00
Space group I-4m2 (No. 119)
Symmetry-distinct sites (fractional):
Si  0.0000  0.0000  0.0000 [2 per cell]
Ir  0.0000  0.0000  0.5000 [2 per cell]
Ir  0.0000  0.5000  0.7500 [2 per cell]
Ru  0.0000  0.5000  0.2500 [2 per cell]

Computed properties:
- total DFT energy (no corrections) (eV per formula unit) = -33.1

no.,DOS(E_F) (states/eV per atom),mass density (Mg/m³),raw formation energy (eV per atom)
1,1.3423,13.33,0.4080
2,1.6239,12.90,0.6088
3,0.8585,13.17,0.3577
4,1.6202,13.28,1.6189
5,0.9534,13.22,0.3215
6,1.7306,12.06,1.9156
7,0.9861,13.30,0.4963
8,1.1707,12.93,0.6359
9,0.9089,13.11,0.3156
10,0.7701,13.27,0.3070
11,1.3973,12.70,0.6093
12,0.9007,13.13,0.3546
13,0.9986,13.27,0.4575
14,1.0864,13.30,0.4280
15,1.0806,8.00,0.6960
16,0.6450,10.60,-1.1926
17,0.4948,10.29,-1.1327
18,0.6377,10.91,-1.2567
19,0.7136,7.98,0.9085
20,0.6451,15.39,-0.1748